A relaxed Al2H6Rh crystal, computed with PBE.

Unit cell a=6.4245 b=6.4245 c=6.4245 alpha=90.00 beta=90.00 gamma=90.00
With the nearest neighbours (Å) after each atom.
Space group Fm-3m (No. 225)
Inequivalent atoms, fractional coordinates:
1 Al 0.2500 0.2500 0.2500  12 H 2.28
2 H 0.0000 0.0000 0.2218  1 Rh 1.79
3 Rh 0.0000 0.0000 0.5000  6 H 1.79

density = 4.081 Mg/m³
final energy = -3.688 eV/atom